Arrangement P

Density functional theory data (PBE) for crystalline GdThSc2 at its relaxed geometry.

Summary:
Magnetization (μB per atom): 1.850
Symmetry: P4/mmm

Structure (POSCAR):
```
GdThSc2
1.0
3.893 0.000 0.000
0.000 3.893 0.000
0.000 0.000 7.460
Gd Th Sc
1 1 2
Direct
0.000 0.000 0.000
0.000 0.000 0.500
0.500 0.500 0.256
0.500 0.500 0.744
```

Arrangement Q

Density functional theory data (PBE) for crystalline GdThSc2 at its relaxed geometry.

Summary:
Magnetization (μB per atom): 1.821
Symmetry: P4/mmm

Structure (POSCAR):
```
GdThSc2
1.0
4.994 0.000 0.000
0.000 4.994 0.000
0.000 0.000 4.512
Gd Th Sc
1 1 2
Direct
0.000 0.000 0.000
0.500 0.500 0.000
0.000 0.500 0.500
0.500 0.000 0.500
```

Structures ranked by computed energy, the most stable listed first: arrangement Q, arrangement P.

Arrangement P

Density functional theory data (PBE) for crystalline Gd2ThSc at its relaxed geometry.

Summary:
Magnetization (μB per atom): 3.622
Symmetry: P4/mmm

Structure (POSCAR):
```
Gd2ThSc
1.0
4.892 0.000 0.000
0.000 4.892 0.000
0.000 0.000 5.037
Gd Th Sc
2 1 1
Direct
0.000 0.500 0.000
0.500 0.000 0.000
0.000 0.000 0.500
0.500 0.500 0.500
```

Arrangement Q

Density functional theory data (PBE) for crystalline Gd2ThSc at its relaxed geometry.

Summary:
Magnetization (μB per atom): 4.308
Symmetry: Fm-3m

Structure (POSCAR):
```
Gd2ThSc
1.0
0.000 3.950 3.950
3.950 0.000 3.950
3.950 3.950 0.000
Gd Th Sc
2 1 1
Direct
0.250 0.250 0.250
0.750 0.750 0.750
0.000 0.000 0.000
0.500 0.500 0.500
```

Arrangement R

Density functional theory data (PBE) for crystalline Gd2ThSc at its relaxed geometry.

Summary:
Magnetization (μB per atom): 3.583
Symmetry: P4/mmm

Structure (POSCAR):
```
Gd2ThSc
1.0
3.522 0.000 0.000
0.000 3.522 0.000
0.000 0.000 9.817
Gd Th Sc
2 1 1
Direct
0.000 0.000 0.244
0.000 0.000 0.756
0.500 0.500 0.500
0.500 0.500 0.000
```

Structures ranked by computed energy, the most stable listed first: arrangement P, arrangement R, arrangement Q.

Arrangement P

Density functional theory data (PBE) for crystalline GdSc2Ti at its relaxed geometry.

Summary:
Magnetization (μB per atom): 1.257
Symmetry: Fm-3m

Structure (POSCAR):
```
GdSc2Ti
1.0
0.000 3.640 3.640
3.640 0.000 3.640
3.640 3.640 0.000
Gd Sc Ti
1 2 1
Direct
0.000 0.000 0.000
0.250 0.250 0.250
0.750 0.750 0.750
0.500 0.500 0.500
```

Arrangement Q

Density functional theory data (PBE) for crystalline GdSc2Ti at its relaxed geometry.

Summary:
Magnetization (μB per atom): 1.439
Symmetry: P4/mmm

Structure (POSCAR):
```
GdSc2Ti
1.0
3.599 0.000 0.000
0.000 3.599 0.000
0.000 0.000 7.660
Gd Sc Ti
1 2 1
Direct
0.000 0.000 0.000
0.500 0.500 0.296
0.500 0.500 0.704
0.000 0.000 0.500
```

Structures ranked by computed energy, the most stable listed first: arrangement Q, arrangement P.